VASP calculation (PBE-GGA) on a relaxed structure of ErTmCo2Pb.

VASP energy (eV/atom): -5.74
Spin magnetization (μB/f.u.): 1.38

abc: 3.8044 7.2422 7.2422
angles: 30.54 90.00 90.00
Fractional positions:
Er1 0.0000 0.0000 0.0000
Tm1 0.0000 0.2842 0.2842
Co1 0.5000 0.4367 0.4367
Co2 0.5000 0.8465 0.8465
Pb1 0.5000 0.6424 0.6424